Entry 1:
First-principles (PBE) data for crystalline LaNdAg2 at its relaxed geometry, as listed in the Open Quantum Materials Database.

a = 4.8648 Å, b = 5.9610 Å, c = 7.5212 Å
α = 90.00°, β = 90.00°, γ = 90.00°
Last column: nearest neighbours and their distance in Å.
Atoms (fractional coordinates):
Ag  0.5000  0.6178  0.0392  2 Ag 2.98, 3 Nd 3.14-3.17, 4 La 3.23-3.25
Ag  0.0000  0.1129  0.4593  2 Ag 2.98, 3 La 3.13-3.18, 4 Nd 3.22-3.24
Ag  0.5000  0.3822  0.5392  2 Ag 2.98, 3 Nd 3.14-3.17, 4 La 3.23-3.25
Ag  0.0000  0.8871  0.9593  2 Ag 2.98, 3 La 3.13-3.18, 4 Nd 3.22-3.24
La  0.0000  0.6172  0.3227  7 Ag 3.13-3.25
La  0.0000  0.3828  0.8227  7 Ag 3.13-3.25
Nd  0.5000  0.1160  0.1788  7 Ag 3.14-3.24
Nd  0.5000  0.8840  0.6788  7 Ag 3.14-3.24

Properties
DFT formation energy   -0.27 eV/atom
Magnetization   0.0 μB per formula unit

---

Entry 2:
First-principles (PBE) data for crystalline Sm2Fe2B2CN at its relaxed geometry, as listed in the Open Quantum Materials Database.

a = 3.5701 Å, b = 3.5701 Å, c = 7.8674 Å
α = 90.00°, β = 90.00°, γ = 90.00°
Last column: nearest neighbours and their distance in Å.
Atoms (fractional coordinates):
B  0.5000  0.5000  0.3360  1 N 1.46
B  0.0000  0.0000  0.6593  1 C 1.50
C  0.0000  0.0000  0.8505  1 B 1.50
Fe  0.5000  0.0000  0.4974  4 B 2.19
Fe  0.0000  0.5000  0.4974  4 B 2.19
N  0.5000  0.5000  0.1504  1 B 1.46
Sm  0.0000  0.0000  0.1707  1 C 2.52, 4 N 2.53
Sm  0.5000  0.5000  0.8383  1 N 2.46, 4 C 2.53

Properties
E   -7.714 eV per atom
Magnetization   3.0 μB per formula unit

---

Entry 3:
First-principles (PBE) data for crystalline LuCuSnTe3 at its relaxed geometry, as listed in the Open Quantum Materials Database.

a = 8.8690 Å, b = 4.4136 Å, c = 17.0698 Å
α = 90.00°, β = 90.00°, γ = 90.00°
Last column: nearest neighbours and their distance in Å.
Atoms (fractional coordinates):
Cu  0.1253  0.2500  0.1312  4 Te 2.59-2.67
Cu  0.6253  0.2500  0.3688  4 Te 2.59-2.67
Cu  0.3747  0.7500  0.6312  4 Te 2.59-2.67
Cu  0.8747  0.7500  0.8688  4 Te 2.59-2.67
Lu  0.7515  0.2500  0.0372  7 Te 3.00-3.30
Lu  0.2515  0.2500  0.4628  7 Te 3.00-3.30
Lu  0.7485  0.7500  0.5372  7 Te 3.00-3.30
Lu  0.2485  0.7500  0.9628  7 Te 3.00-3.30
Sn  0.4190  0.7500  0.2252  5 Te 3.13-3.25
Sn  0.9190  0.7500  0.2748  5 Te 3.13-3.25
Sn  0.0810  0.2500  0.7252  5 Te 3.13-3.25
Sn  0.5810  0.2500  0.7748  5 Te 3.13-3.25
Te  0.3820  0.2500  0.0594  1 Cu 2.59
Te  0.9802  0.7500  0.0945  2 Cu 2.63
Te  0.6869  0.2500  0.2157  1 Cu 2.67
Te  0.1869  0.2500  0.2843  1 Cu 2.67
Te  0.4802  0.7500  0.4055  2 Cu 2.63
Te  0.8820  0.2500  0.4406  1 Cu 2.59
Te  0.1180  0.7500  0.5594  1 Cu 2.59
Te  0.5198  0.2500  0.5945  2 Cu 2.63
Te  0.8131  0.7500  0.7157  1 Cu 2.67
Te  0.3131  0.7500  0.7843  1 Cu 2.67
Te  0.0198  0.2500  0.9055  2 Cu 2.63
Te  0.6180  0.7500  0.9406  1 Cu 2.59

Properties
E   -4.179 eV per atom
Magnetization   0.0 μB per formula unit

---

Entry 4:
First-principles (PBE) data for crystalline KIr8 at its relaxed geometry, as listed in the Open Quantum Materials Database.

a = 12.6876 Å, b = 12.4051 Å, c = 5.2700 Å
α = 80.90°, β = 74.89°, γ = 24.21°
Last column: nearest neighbours and their distance in Å.
Atoms (fractional coordinates):
Ir  0.7596  0.6504  0.0304  5 Ir 2.45-2.70
Ir  0.4904  0.5996  0.2196  5 Ir 2.45-2.70
Ir  0.8980  0.3503  0.3033  8 Ir 2.57-2.84
Ir  0.4484  0.3033  0.3503  8 Ir 2.57-2.84
Ir  0.9467  0.8016  0.3520  8 Ir 2.57-2.84
Ir  0.3503  0.8980  0.4484  8 Ir 2.57-2.84
Ir  0.2196  0.6904  0.4904  5 Ir 2.45-2.70
Ir  0.6504  0.7596  0.5596  5 Ir 2.45-2.70
Ir  0.6904  0.2196  0.5996  5 Ir 2.45-2.70
Ir  0.5596  0.0304  0.6504  5 Ir 2.45-2.70
Ir  0.5996  0.4904  0.6904  5 Ir 2.45-2.70
Ir  0.0304  0.5596  0.7596  5 Ir 2.45-2.70
Ir  0.8997  0.3520  0.8016  8 Ir 2.57-2.84
Ir  0.3033  0.4484  0.8980  8 Ir 2.57-2.84
Ir  0.8016  0.9467  0.8997  8 Ir 2.57-2.84
Ir  0.3520  0.8997  0.9467  8 Ir 2.57-2.84
K  0.0000  0.0000  0.0000  12 Ir 3.09-3.30
K  0.2500  0.2500  0.2500  12 Ir 3.09-3.30

Properties
E   -7.519 eV per atom
Magnetization   0.0 μB per formula unit

---

Entry 5:
First-principles (PBE) data for crystalline PdPtO3 at its relaxed geometry, as listed in the Open Quantum Materials Database.

a = 5.5110 Å, b = 5.5110 Å, c = 5.5110 Å
α = 59.30°, β = 59.30°, γ = 59.30°
Last column: nearest neighbours and their distance in Å.
Atoms (fractional coordinates):
O  0.3773  0.7500  0.1227  1 Pd 2.03, 2 Pt 2.06
O  0.8773  0.6227  0.2500  1 Pd 2.03, 2 Pt 2.06
O  0.7500  0.1227  0.3773  1 Pd 2.03, 2 Pt 2.06
O  0.2500  0.8773  0.6227  1 Pd 2.03, 2 Pt 2.06
O  0.1227  0.3773  0.7500  1 Pd 2.03, 2 Pt 2.06
O  0.6227  0.2500  0.8773  1 Pd 2.03, 2 Pt 2.06
Pd  0.2500  0.2500  0.2500  3 O 2.03
Pd  0.7500  0.7500  0.7500  3 O 2.03
Pt  0.0000  0.0000  0.0000  6 O 2.06
Pt  0.5000  0.5000  0.5000  6 O 2.06

Properties
E   -5.252 eV per atom
Magnetization   2.0 μB per formula unit

---

Entry 6:
First-principles (PBE) data for crystalline YErFe2Si2C at its relaxed geometry, as listed in the Open Quantum Materials Database.

a = 5.6227 Å, b = 5.6227 Å, c = 6.7091 Å
α = 126.58°, β = 126.58°, γ = 40.74°
Last column: nearest neighbours and their distance in Å.
Atoms (fractional coordinates):
C  0.0012  0.0012  0.0033  2 Fe 1.78
Er  0.5584  0.5584  0.2924  2 C 2.54
Fe  0.2016  0.2016  0.0963  1 C 1.78
Fe  0.7991  0.7991  0.9045  1 C 1.78
Si  0.8382  0.8382  0.2837  3 Fe 2.28-2.30
Si  0.1615  0.1615  0.7149  3 Fe 2.28-2.31
Y  0.4400  0.4400  0.7049  2 C 2.57

Properties
E   -7.513 eV per atom
Magnetization   0.0 μB per formula unit

---

Entry 7:
First-principles (PBE) data for crystalline Dy2Y2CI2Br2Cl at its relaxed geometry, as listed in the Open Quantum Materials Database.

a = 9.5016 Å, b = 9.5016 Å, c = 8.0016 Å
α = 101.83°, β = 101.83°, γ = 23.33°
Last column: nearest neighbours and their distance in Å.
Atoms (fractional coordinates):
Br  0.1567  0.1567  0.3407  2 Y 2.86, 1 Dy 2.90
Br  0.8433  0.8433  0.6593  2 Y 2.86, 1 Dy 2.90
C  0.5000  0.5000  0.0000  2 Y 2.41, 4 Dy 2.53
Cl  0.5000  0.5000  0.5000  4 Dy 3.03
Dy  0.9994  0.9994  0.2063  2 C 2.53
Dy  0.0006  0.0006  0.7937  2 C 2.53
I  0.8290  0.8290  0.1942  2 Y 3.06, 1 Dy 3.15
I  0.1710  0.1710  0.8058  2 Y 3.06, 1 Dy 3.15
Y  0.6323  0.6323  0.0707  1 C 2.41
Y  0.3677  0.3677  0.9293  1 C 2.41

Properties
E   -5.306 eV per atom
Magnetization   0.0 μB per formula unit

---

Entry 8:
First-principles (PBE) data for crystalline Pd2Pb2O5 at its relaxed geometry, as listed in the Open Quantum Materials Database.

a = 7.6774 Å, b = 4.0537 Å, c = 4.0537 Å
α = 90.00°, β = 90.00°, γ = 90.00°
Last column: nearest neighbours and their distance in Å.
Atoms (fractional coordinates):
O  0.2004  0.5000  0.0000  2 Pd 2.04
O  0.7996  0.5000  0.0000  2 Pd 2.04
O  0.2004  0.0000  0.5000  2 Pd 2.04
O  0.7996  0.0000  0.5000  2 Pd 2.04
O  0.5000  0.5000  0.5000  2 Pd 2.08
Pb  0.0000  0.0000  0.0000  8 O 2.54
Pb  0.5000  0.0000  0.0000  12 O 2.87-3.07
Pd  0.2286  0.5000  0.5000  5 O 2.04-2.08
Pd  0.7714  0.5000  0.5000  5 O 2.04-2.08

Properties
E   -5.246 eV per atom